No. 1
BiRhO: optimized geometry, PBE-GGA.

Properties
For the raw total energy, the calculation gives -67.86 eV/cell. For the density of states at the Fermi level, the calculation gives 0.54 states/eV per atom. As for the space group: No. 19. For the formation energy without anion corrections, the calculation gives -0.77 eV/f.u.

a b c (Å): 4.022 5.802 10.806
angles (deg): 90.00 90.00 90.00
Element x y z (fractional)
O (0.499, 0.300, 0.800)
O (0.501, 0.800, 0.700)
O (0.001, 0.700, 0.300)
O (0.999, 0.200, 0.200)
Rh (0.502, 0.453, 0.635)
Rh (0.998, 0.547, 0.135)
Rh (0.002, 0.047, 0.365)
Rh (0.498, 0.953, 0.865)
Bi (0.002, 0.473, 0.468)
Bi (0.998, 0.973, 0.032)
Bi (0.498, 0.527, 0.968)
Bi (0.502, 0.027, 0.532)

=====

No. 2
LiSm6Ga2: optimized geometry, PBE-GGA.

Properties
For the raw total energy, the calculation gives -36.29 eV/cell. For the density of states at the Fermi level, the calculation gives 1.52 states/eV per atom. As for the space group: No. 12. The value obtained for the formation energy is 0.000 eV/atom.

a b c (Å): 4.951 7.424 8.774
angles (deg): 115.03 106.20 90.00
Element x y z (fractional)
Sm (0.169, 0.915, 0.337)
Sm (0.831, 0.085, 0.663)
Sm (0.500, 0.736, 0.000)
Sm (0.500, 0.264, 0.000)
Sm (0.831, 0.578, 0.663)
Sm (0.169, 0.422, 0.337)
Ga (0.333, 0.333, 0.666)
Ga (0.667, 0.667, 0.334)
Li (0.000, 0.000, 0.000)

=====

No. 3
Fe2SiNi: optimized geometry, PBE-GGA.

Properties
For the raw total energy, the calculation gives -28.35 eV/cell. For the density of states at the Fermi level, the calculation gives 1.13 states/eV per atom. As for the space group: No. 166. For the formation energy without anion corrections, the calculation gives -0.22 eV/f.u.

a b c (Å): 8.088 8.088 8.088
angles (deg): 18.31 18.31 18.31
Each line ends with the local moment (μB).
Element x y z (fractional)
Fe (0.002, 0.002, 0.002)  2.10
Fe (0.498, 0.498, 0.498)  2.10
Si (0.750, 0.750, 0.750)  -0.05
Ni (0.250, 0.250, 0.250)  0.65

=====

No. 4
NaMgCuSe2: optimized geometry, PBE-GGA.

Properties
For the raw total energy, the calculation gives -36.35 eV/cell. For the density of states at the Fermi level, the calculation gives 0.00 states/eV per atom. As for the space group: No. 13. For the formation energy without anion corrections, the calculation gives -4.20 eV/f.u.

a b c (Å): 5.153 6.839 6.977
angles (deg): 101.09 90.00 90.00
Element x y z (fractional)
Na (0.172, 0.500, 0.750)
Na (0.828, 0.500, 0.250)
Se (0.706, 0.748, 0.954)
Se (0.294, 0.748, 0.454)
Se (0.706, 0.252, 0.546)
Se (0.294, 0.252, 0.046)
Cu (0.000, 0.000, 0.000)
Cu (0.000, 0.000, 0.500)
Mg (0.503, 0.000, 0.750)
Mg (0.497, 0.000, 0.250)